# Mg2NiC

A relaxed Mg2NiC crystal (PBE-GGA, the Alexandria database).

Cell and atoms, written as extended XYZ:
```
4
Lattice="4.080 0.000 0.000 -2.040 3.534 0.000 0.000 0.000 3.751" Properties=species:S:1:pos:R:3 pbc="T T T"
C 0.000 0.000 0.000
Mg 2.040 1.178 0.812
Mg 0.000 2.356 2.939
Ni 0.000 0.000 1.875
```

- formation energy (eV per atom) = 0.09

=====

# Mg2Ni5C

A relaxed Mg2Ni5C crystal (PBE-GGA, the Alexandria database).

Cell and atoms, written as extended XYZ:
```
8
Lattice="-0.191 3.694 1.393 -3.264 1.213 -3.666 -3.853 -1.328 2.992" Properties=species:S:1:pos:R:3 pbc="T T T"
Ni -5.265 -0.085 -0.498
Ni -0.096 1.847 0.696
Ni -1.852 -0.030 -0.175
Ni -3.700 -0.666 1.260
Ni -3.418 0.552 -1.933
Mg -2.022 1.183 2.192
Mg -1.728 2.453 -1.136
C 0.000 0.000 0.000
```

- formation energy (eV per atom) = -0.02

=====

# Mg3NiC

A relaxed Mg3NiC crystal (PBE-GGA, the Alexandria database).

Cell and atoms, written as extended XYZ:
```
5
Lattice="4.659 0.000 0.000 0.000 4.659 0.000 0.000 0.000 4.659" Properties=species:S:1:pos:R:3 pbc="T T T"
Mg 0.000 2.329 0.000
Mg 2.329 0.000 0.000
Mg 0.000 0.000 2.329
Ni 0.000 0.000 0.000
C 2.329 2.329 2.329
```

- formation energy (eV per atom) = 1.26
- distance to the lowest polymorph of the same formula (kJ per mole of atoms) = 92.06

=====

# Mg6NiC

A relaxed Mg6NiC crystal (PBE-GGA, the Alexandria database).

Cell and atoms, written as extended XYZ:
```
8
Lattice="4.089 -4.486 0.000 4.089 4.486 0.000 0.000 0.000 3.813" Properties=species:S:1:pos:R:3 pbc="T T T"
Mg 4.089 -1.883 0.000
Mg 2.638 1.037 0.000
Mg 6.134 -1.284 1.906
Mg 4.089 3.677 0.000
Mg 5.540 1.037 0.000
Mg 2.044 -1.284 1.906
C 4.089 2.224 1.906
Ni 4.089 -3.523 1.906
```

- formation energy (eV per atom) = 0.29
- distance to the lowest polymorph of the same formula (kJ per mole of atoms) = 3.64

=====

# Mg2NiC

A relaxed Mg2NiC crystal (PBE-GGA, the Alexandria database).

Cell and atoms, written as extended XYZ:
```
4
Lattice="-2.407 -1.320 1.739 3.075 -0.905 0.533 0.611 4.654 4.378" Properties=species:S:1:pos:R:3 pbc="T T T"
Ni -0.422 0.023 2.470
Mg 1.594 1.599 3.420
Mg 0.591 4.503 4.235
C 1.367 -0.129 1.795
```

- formation energy (eV per atom) = 0.21

=====

# Mg2NiC

A relaxed Mg2NiC crystal (PBE-GGA, the Alexandria database).

Cell and atoms, written as extended XYZ:
```
12
Lattice="-1.217 0.054 -3.077 -2.056 0.002 2.593 0.286 18.556 0.212" Properties=species:S:1:pos:R:3 pbc="T T T"
C -1.282 13.972 -1.028
C -1.752 1.584 0.721
C 0.119 7.750 0.088
Ni -1.378 7.741 -1.099
Ni -1.563 13.910 0.861
Ni 0.023 1.519 0.017
Mg 0.186 12.119 0.138
Mg -1.631 9.499 0.811
Mg 0.241 15.666 0.179
Mg -1.215 18.341 -0.978
Mg -1.685 5.953 0.771
Mg -1.446 3.331 -1.149
```

- formation energy (eV per atom) = 0.22

=====

# MgNi3C

A relaxed MgNi3C crystal (PBE-GGA, the Alexandria database).

Cell and atoms, written as extended XYZ:
```
5
Lattice="-3.296 1.843 -0.519 -1.103 -2.672 -2.484 -1.565 -1.998 2.844" Properties=species:S:1:pos:R:3 pbc="T T T"
Ni -1.648 0.922 -0.260
Ni -0.552 -1.336 -1.242
Ni -0.783 -0.999 1.422
C 0.000 0.000 0.000
Mg -2.982 -1.413 -0.080
```

- formation energy (eV per atom) = -0.14
- distance to the lowest polymorph of the same formula (kJ per mole of atoms) = 0.00

=====

# Mg2NiC

A relaxed Mg2NiC crystal (PBE-GGA, the Alexandria database).

Cell and atoms, written as extended XYZ:
```
4
Lattice="-1.558 1.067 -3.116 -1.725 -3.997 -0.506 -3.558 1.254 2.226" Properties=species:S:1:pos:R:3 pbc="T T T"
Mg -0.295 0.120 0.059
Mg -4.291 -0.324 -1.791
Ni -1.834 -1.415 -1.549
C -2.614 -0.881 -3.106
```

- formation energy (eV per atom) = 0.16

=====

Computed uncorrected energy, in the same sequence as the records: -4.46; -5.18; -2.70; -2.78; -4.34; -4.33; -5.77; -4.39 eV per atom.